A plane-wave DFT calculation with PBE was carried out for a relaxed structure of CuPbF6.

Output
The space-group type is No. 2. As for the total energy: -31.98 eV/cell. Its calculated volume is 12.2 Å³ per atom.

Unit cell a=4.9087 b=4.9098 c=5.4549 alpha=116.72 beta=90.05 gamma=119.94
Closest atoms and distances in Å follow each position.
Element x y z (fractional)
1 Cu 0.0000 0.0000 0.0000  6 F 1.96-1.97
2 Pb 0.5000 0.0000 0.5000  6 F 2.10
3 F 0.0615 0.8253 0.2426  1 Cu 1.96, 1 Pb 2.10
4 F 0.2368 0.8185 0.7573  1 Cu 1.97, 1 Pb 2.10
5 F 0.4177 0.4793 0.2425  1 Cu 1.97, 1 Pb 2.10
6 F 0.5823 0.5207 0.7575  1 Cu 1.97, 1 Pb 2.10
7 F 0.7632 0.1815 0.2427  1 Cu 1.97, 1 Pb 2.10
8 F 0.9385 0.1747 0.7574  1 Cu 1.96, 1 Pb 2.10


A plane-wave DFT calculation with PBE was carried out for a relaxed structure of NdY.

Output
The calculation puts the total magnetic moment at 0.012 μB per atom. The space-group type is No. 187. As for the formation energy: 28 meV/atom. The calculation puts the energy above the most stable polymorph in this dataset at 0.0 meV per atom. As for the total energy: -11.17 eV/cell. Its calculated volume is 33.9 Å³ per atom.

Unit cell a=3.6669 b=3.6669 c=5.8174 alpha=90.00 beta=90.00 gamma=120.00
Closest atoms and distances in Å follow each position.
Element x y z (fractional)
1 Nd 0.0000 0.0000 0.0000  6 Y 3.60, 6 Nd 3.67
2 Y 0.6667 0.3333 0.5000  6 Nd 3.60, 6 Y 3.67


A plane-wave DFT calculation with PBE was carried out for a relaxed structure of Sm2PdAu.

Output
The calculation puts the total magnetic moment at 0.002 μB per atom. The space-group type is No. 38. As for the formation energy: -852 meV/atom. As for the total energy: -21.27 eV/cell. Its calculated volume is 24.7 Å³ per atom.

Unit cell a=4.7083 b=5.7606 c=5.7606 alpha=39.27 beta=90.00 gamma=90.00
Closest atoms and distances in Å follow each position.
Element x y z (fractional)
1 Sm 0.0000 0.0000 0.0000  3 Pd 2.98-3.12, 4 Au 3.10
2 Sm 0.5000 0.2750 0.2750  3 Au 3.03-3.08, 4 Pd 3.10
3 Pd 0.0000 0.7253 0.7253  7 Sm 2.98-3.12, 2 Au 3.00
4 Au 0.5000 0.5538 0.5538  2 Pd 3.00, 7 Sm 3.03-3.10


Question: What is the formula in the first record?
Answer: CuPbF6


Copy entry 1 word for word.
A plane-wave DFT calculation with PBE was carried out for a relaxed structure of CuPbF6.

Output
The space-group type is No. 2. As for the total energy: -31.98 eV/cell. Its calculated volume is 12.2 Å³ per atom.

Unit cell a=4.9087 b=4.9098 c=5.4549 alpha=116.72 beta=90.05 gamma=119.94
Closest atoms and distances in Å follow each position.
Element x y z (fractional)
1 Cu 0.0000 0.0000 0.0000  6 F 1.96-1.97
2 Pb 0.5000 0.0000 0.5000  6 F 2.10
3 F 0.0615 0.8253 0.2426  1 Cu 1.96, 1 Pb 2.10
4 F 0.2368 0.8185 0.7573  1 Cu 1.97, 1 Pb 2.10
5 F 0.4177 0.4793 0.2425  1 Cu 1.97, 1 Pb 2.10
6 F 0.5823 0.5207 0.7575  1 Cu 1.97, 1 Pb 2.10
7 F 0.7632 0.1815 0.2427  1 Cu 1.97, 1 Pb 2.10
8 F 0.9385 0.1747 0.7574  1 Cu 1.96, 1 Pb 2.10


Question: Among the records above, which one has the highest calculated volume?
Answer: NdY


What did the second record say?
A plane-wave DFT calculation with PBE was carried out for a relaxed structure of NdY.

Output
The calculation puts the total magnetic moment at 0.012 μB per atom. The space-group type is No. 187. As for the formation energy: 28 meV/atom. The calculation puts the energy above the most stable polymorph in this dataset at 0.0 meV per atom. As for the total energy: -11.17 eV/cell. Its calculated volume is 33.9 Å³ per atom.

Unit cell a=3.6669 b=3.6669 c=5.8174 alpha=90.00 beta=90.00 gamma=120.00
Closest atoms and distances in Å follow each position.
Element x y z (fractional)
1 Nd 0.0000 0.0000 0.0000  6 Y 3.60, 6 Nd 3.67
2 Y 0.6667 0.3333 0.5000  6 Nd 3.60, 6 Y 3.67